Here is a geometry-optimized La2ScBe structure from the Alexandria database. Energies are from PBE-GGA.

## Properties
Symmetry: Cmmm (65)
Crystal system: orthorhombic

a = 5.4078 Å, b = 5.4077 Å, c = 3.6682 Å
α = 90.00°, β = 90.00°, γ = 90.20°
With the nearest neighbours (Å) after each atom.
Atoms (fractional coordinates):
Be: 0.0000 0.5000 0.5000  8 La 3.27
La: 0.5000 0.5000 0.0000  4 Sc 3.27, 4 Be 3.27
La: 0.0000 0.0000 0.0000  4 Be 3.27, 4 Sc 3.27
Sc: 0.5000 0.0000 0.5000  8 La 3.27

---

Here is a geometry-optimized La2ScBe structure from the Alexandria database. Energies are from PBE-GGA.

## Properties
Symmetry: P4/mmm (123)
Crystal system: tetragonal

a = 3.6795 Å, b = 3.6795 Å, c = 7.9882 Å
α = 90.00°, β = 90.00°, γ = 90.00°
With the nearest neighbours (Å) after each atom.
Atoms (fractional coordinates):
Be: 0.5000 0.5000 0.7500  8 La 3.09
La: 0.0000 0.0000 0.5424  4 Be 3.09, 1 La 3.32
La: 0.0000 0.0000 0.9576  4 Be 3.09, 1 La 3.32
Sc: 0.5000 0.5000 0.2500  8 La 3.50, 4 Sc 3.68

---

Here is a geometry-optimized LaScBe2 structure from the Alexandria database. Energies are from PBE-GGA.

## Properties
ΔE to the lowest computed polymorph: 117 meV/atom
Symmetry: Fm-3m (225)
Crystal system: cubic

a = 4.8212 Å, b = 4.8212 Å, c = 4.8212 Å
α = 60.00°, β = 60.00°, γ = 60.00°
With the nearest neighbours (Å) after each atom.
Atoms (fractional coordinates):
Be: 0.2500 0.2500 0.2500  4 La 2.95, 4 Sc 2.95
Be: 0.7500 0.7500 0.7500  4 La 2.95, 4 Sc 2.95
Sc: 0.0000 0.0000 0.0000  8 Be 2.95
La: 0.5000 0.5000 0.5000  8 Be 2.95

---

Number 1: energy of formation from the pure elements 0.243 eV per atom, VASP energy -0.174 hartree per atom. Number 2: energy of formation from the pure elements 0.162 eV per atom, VASP energy -0.177 hartree per atom. Number 3: energy of formation from the pure elements 0.180 eV per atom, VASP energy -0.165 hartree per atom.